Run 1
Material: Sr3W2O9
Method: DFT, PBE with a Hubbard U
State: optimized geometry

Values from the calculation:
density of states at the Fermi level	0.000	states/eV/f.u.

Cell: 9.9245 9.9245 13.8301 Å, 90.00 90.00 120.00°
Space group R-3c (No. 167, hexagonal axes)
One atom of each set of equivalent atoms:
Sr1 0.0000 0.3248 0.2500 [18 per cell]
W1 0.0000 0.0000 0.1435 [12 per cell]
O1 0.0000 0.1504 0.7500 [18 per cell]
O2 0.0066 0.1723 0.4129 [36 per cell]


Run 2
Material: Sr3W2O9
Method: DFT, PBE with a Hubbard U
State: optimized geometry

Values from the calculation:
density of states at the Fermi level	0.000	states/eV/f.u.

Cell: 9.164 8.089 9.906 Å, 90.00 117.41 90.00°
Space group P2_1/m (No. 11)
One atom of each set of equivalent atoms:
Sr1 0.000 0.000 0.000 [2 per cell]
Sr2 0.149 0.250 0.767 [2 per cell]
Sr3 0.381 0.250 0.235 [2 per cell]
W1 0.140 0.750 0.714 [2 per cell]
W2 0.425 0.750 0.285 [2 per cell]
O1 0.033 0.750 0.509 [2 per cell]
O2 0.086 0.564 0.787 [4 per cell]
O3 0.139 0.250 0.000 [2 per cell]
O4 0.298 0.564 0.214 [4 per cell]
O5 0.359 0.750 0.774 [2 per cell]
O6 0.420 0.250 0.780 [2 per cell]
O7 0.474 0.250 0.510 [2 per cell]


Consider the structures shown above. The most stable of them is run 1.